[1]
# MnAgIr2

A PBEsol-optimized structure of MnAgIr2 (meta-GGA SCAN, the Alexandria database).

The calculation puts the total magnetization at 3.950 μB per cell. The calculation puts the formation energy at 0.07 eV per atom.

The structure belongs to space group P2/m (No. 10); the cell edges are 2.7138, 4.2102 and 5.2115 Å and the angles 90.00°, 104.33° and 90.00°. The distinct sites, in fractional coordinates, are Mn at (0.0000, 0.0000, 0.0000), Ag at (0.0000, 0.0000, 0.5000) and Ir at (0.3772, 0.5000, 0.2326).

[2]
# MnAgIr2

A PBEsol-optimized structure of MnAgIr2 (meta-GGA SCAN, the Alexandria database).

The calculation puts the total magnetization at 4.827 μB per cell. The calculation puts the formation energy at 0.11 eV per atom.

The structure belongs to space group I4/mmm (No. 139); the cell edges are 3.8604, 3.8604 and 7.5221 Å and the angles 90.00°, 90.00° and 90.00°. The distinct sites, in fractional coordinates, are Mn at (0.0000, 0.0000, 0.0000), Ag at (0.0000, 0.0000, 0.5000) and Ir at (0.0000, 0.5000, 0.2500).

[3]
# MnAgIr2

A PBEsol-optimized structure of MnAgIr2 (meta-GGA SCAN, the Alexandria database).

The calculation puts the total magnetization at 2.364 μB per cell. The calculation puts the formation energy at 0.03 eV per atom.

The structure belongs to space group P4/mmm (No. 123); the cell edges are 2.6800, 2.6800 and 7.6512 Å and the angles 90.00°, 90.00° and 90.00°. The distinct sites, in fractional coordinates, are Mn at (0.0000, 0.0000, 0.0000), Ag at (0.0000, 0.0000, 0.5000) and Ir at (0.5000, 0.5000, 0.2186).

[4]
# MnAgIr2

A PBEsol-optimized structure of MnAgIr2 (meta-GGA SCAN, the Alexandria database).

The calculation puts the total magnetization at 7.932 μB per cell. The calculation puts the formation energy at 0.03 eV per atom.

The structure belongs to space group Cm (No. 8); the cell edges are 9.0159, 2.7746 and 4.6990 Å and the angles 90.00°, 101.06° and 90.00°. The distinct sites, in fractional coordinates, are Mn at (0.0000, 0.0000, 0.0000), Ag at (0.2455, 0.0000, 0.7681), Ir at (0.2424, 0.5000, 0.2711) and Ir at (0.4865, 0.0000, 0.4689).

[5]
# MnTcAgIr2

A PBEsol-optimized structure of MnTcAgIr2 (meta-GGA SCAN, the Alexandria database).

The calculation puts the total magnetization at 4.784 μB per cell. The calculation puts the formation energy at 1.39 eV per atom.

The structure belongs to space group P4/mmm (No. 123); the cell edges are 4.5795, 4.5795 and 4.9274 Å and the angles 90.00°, 90.00° and 90.00°. The distinct sites, in fractional coordinates, are Mn at (0.0000, 0.0000, 0.0000), Tc at (0.5000, 0.5000, 0.5000), Ag at (0.5000, 0.5000, 0.0000) and Ir at (0.0000, 0.5000, 0.5000).

[6]
# Ag2MoIr

A PBEsol-optimized structure of Ag2MoIr (meta-GGA SCAN, the Alexandria database).

The calculation puts the total magnetization at 0.000 μB per cell. The calculation puts the formation energy at 0.44 eV per atom.

The structure belongs to space group I-4m2 (No. 119); the cell edges are 4.0052, 4.0052 and 7.6250 Å and the angles 90.00°, 90.00° and 90.00°. The distinct sites, in fractional coordinates, are Ag at (0.0000, 0.0000, 0.0000), Ag at (0.0000, 0.5000, 0.2500), Mo at (0.0000, 0.5000, 0.7500) and Ir at (0.0000, 0.0000, 0.5000).